No. 1
The following is a DFT calculation (PBE) of HoTh2Tl after structural relaxation.

Output
E above lowest polymorph (meV/atom): 208
Magnetic moment (μB/cell): 0.001

Lattice parameters (Å, degrees): 5.561 5.561 5.561 60.00 60.00 60.00
Element x y z (fractional)
Ho  0.000  0.000  0.000
Th  0.250  0.250  0.250
Th  0.750  0.750  0.750
Tl  0.500  0.500  0.500


No. 2
The following is a DFT calculation (PBE) of HoTh2Tl after structural relaxation.

Output
E above lowest polymorph (meV/atom): 119
Magnetic moment (μB/cell): 0.000

Lattice parameters (Å, degrees): 11.731 11.731 11.731 17.32 17.32 17.32
Element x y z (fractional)
Ho  0.000  0.000  0.000
Th  0.418  0.418  0.418
Th  0.581  0.581  0.581
Tl  0.166  0.166  0.166


No. 3
The following is a DFT calculation (PBE) of HoTh2Tl after structural relaxation.

Output
E above lowest polymorph (meV/atom): 23
Magnetic moment (μB/cell): 0.000

Lattice parameters (Å, degrees): 4.712 4.693 11.522 90.00 101.85 90.00
Element x y z (fractional)
Ho  0.194  0.250  0.387
Ho  0.806  0.750  0.613
Th  0.062  0.750  0.123
Th  0.439  0.750  0.879
Th  0.561  0.250  0.121
Th  0.938  0.250  0.877
Tl  0.328  0.250  0.659
Tl  0.672  0.750  0.341


No. 4
The following is a DFT calculation (PBE) of Ho3ThTl2 after structural relaxation.

Output
Magnetic moment (μB/cell): 0.169

Lattice parameters (Å, degrees): 3.620 3.620 13.021 90.00 90.00 90.00
Element x y z (fractional)
Ho  0.000  0.000  0.000
Ho  0.000  0.000  0.318
Ho  0.000  0.000  0.682
Th  0.500  0.500  0.500
Tl  0.500  0.500  0.160
Tl  0.500  0.500  0.840


No. 5
The following is a DFT calculation (PBE) of Ho5ThTl4 after structural relaxation.

Output
Magnetic moment (μB/cell): 0.199

Lattice parameters (Å, degrees): 3.545 3.545 22.094 90.00 90.00 90.00
Element x y z (fractional)
Ho  0.000  0.000  0.000
Ho  0.000  0.000  0.194
Ho  0.000  0.000  0.390
Ho  0.000  0.000  0.610
Ho  0.000  0.000  0.806
Th  0.500  0.500  0.500
Tl  0.500  0.500  0.097
Tl  0.500  0.500  0.292
Tl  0.500  0.500  0.708
Tl  0.500  0.500  0.903


No. 6
The following is a DFT calculation (PBE) of Ho2ThTl9 after structural relaxation.

Output
Magnetic moment (μB/cell): 0.000

Lattice parameters (Å, degrees): 4.777 4.777 14.316 90.00 90.00 90.00
Element x y z (fractional)
Ho  0.000  0.000  0.166
Ho  0.000  0.000  0.834
Th  0.000  0.000  0.500
Tl  0.000  0.500  0.000
Tl  0.000  0.500  0.329
Tl  0.000  0.500  0.671
Tl  0.500  0.000  0.000
Tl  0.500  0.000  0.329
Tl  0.500  0.000  0.671
Tl  0.500  0.500  0.164
Tl  0.500  0.500  0.500
Tl  0.500  0.500  0.836


No. 7
The following is a DFT calculation (PBE) of HoTh2Tl3 after structural relaxation.

Output
Magnetic moment (μB/cell): 0.003

Lattice parameters (Å, degrees): 3.570 3.570 13.400 90.00 90.00 90.00
Element x y z (fractional)
Ho  0.000  0.000  0.000
Th  0.000  0.000  0.329
Th  0.000  0.000  0.671
Tl  0.500  0.500  0.157
Tl  0.500  0.500  0.500
Tl  0.500  0.500  0.843


No. 8
The following is a DFT calculation (PBE) of Ho2ThTl2 after structural relaxation.

Output
Magnetic moment (μB/cell): 0.000

Lattice parameters (Å, degrees): 5.274 5.274 6.589 90.00 90.00 120.00
Element x y z (fractional)
Ho  0.333  0.667  0.170
Ho  0.667  0.333  0.830
Th  0.000  0.000  0.500
Tl  0.333  0.667  0.699
Tl  0.667  0.333  0.301


No. 9
The following is a DFT calculation (PBE) of HoTh2Tl after structural relaxation.

Output
E above lowest polymorph (meV/atom): 51
Magnetic moment (μB/cell): 0.000

Lattice parameters (Å, degrees): 7.178 4.907 7.507 90.00 112.90 90.00
Element x y z (fractional)
Ho  0.066  0.250  0.353
Ho  0.934  0.750  0.647
Th  0.314  0.250  0.882
Th  0.423  0.750  0.617
Th  0.577  0.250  0.383
Th  0.686  0.750  0.118
Tl  0.201  0.750  0.135
Tl  0.799  0.250  0.865


No. 10
The following is a DFT calculation (PBE) of HoTh2Tl after structural relaxation.

Output
E above lowest polymorph (meV/atom): 289
Magnetic moment (μB/cell): 0.000

Lattice parameters (Å, degrees): 12.533 12.533 12.533 15.63 15.63 15.63
Element x y z (fractional)
Ho  0.000  0.000  0.000
Th  0.089  0.089  0.089
Th  0.911  0.911  0.911
Tl  0.500  0.500  0.500


No. 11
The following is a DFT calculation (PBE) of Ho2ThTl4 after structural relaxation.

Output
E above lowest polymorph (meV/atom): 116
Magnetic moment (μB/cell): 0.000

Lattice parameters (Å, degrees): 10.266 10.266 10.266 27.97 27.97 27.97
Element x y z (fractional)
Ho  0.128  0.128  0.128
Ho  0.872  0.872  0.872
Th  0.000  0.000  0.000
Tl  0.243  0.243  0.243
Tl  0.385  0.385  0.385
Tl  0.615  0.615  0.615
Tl  0.757  0.757  0.757


No. 12
The following is a DFT calculation (PBE) of HoTh2Tl after structural relaxation.

Output
E above lowest polymorph (meV/atom): 114
Magnetic moment (μB/cell): 0.000

Lattice parameters (Å, degrees): 3.499 3.499 10.141 90.00 90.00 90.00
Element x y z (fractional)
Ho  0.000  0.000  0.000
Th  0.500  0.500  0.259
Th  0.500  0.500  0.741
Tl  0.000  0.000  0.500


Formation energy (computed, meV/atom): 112; 23; -74; -232; -272; -193; -203; -20; -45; 192; -13; 17